[1]
Below is a relaxed structure of MnBe2Os, with properties calculated at the GGA-PBEsol level.

Calculated values
space-group type	No. 38
N(E_F)	0.79	states/eV per atom
ΔH_f (0 K)	-0.08	eV/atom

The structure in extended XYZ format:
```
4
Lattice="-1.383 0.552 -2.274 0.245 -3.356 -0.964 -2.928 -1.114 3.135" Properties=species:S:1:pos:R:3 pbc="T T T"
Be -1.393 -0.323 0.769
Be -0.287 -1.773 -0.256
Mn -3.368 -0.780 1.859
Os -2.639 -1.881 -0.476
```



[2]
Below is a relaxed structure of Cu5As, with properties calculated at the GGA-PBEsol level.

Calculated values
space-group type	No. 38
N(E_F)	0.28	states/eV per atom
ΔH_f (0 K)	0.08	eV/atom

The structure in extended XYZ format:
```
6
Lattice="-1.141 2.053 -1.258 -2.836 -2.570 -1.623 -3.368 0.002 5.882" Properties=species:S:1:pos:R:3 pbc="T T T"
As -0.005 0.001 0.007
Cu -2.586 0.675 3.449
Cu -1.913 1.377 1.161
Cu -4.889 -0.379 3.818
Cu -4.173 0.312 1.473
Cu -2.332 -1.047 0.407
```



[3]
Below is a relaxed structure of AlCu2Ni, with properties calculated at the GGA-PBEsol level.

Calculated values
space-group type	No. 216
N(E_F)	0.41	states/eV per atom
ΔH_f (0 K)	-0.28	eV/atom

The structure in extended XYZ format:
```
4
Lattice="4.027 0.000 0.000 2.013 3.487 0.000 2.013 1.162 3.288" Properties=species:S:1:pos:R:3 pbc="T T T"
Ni 6.040 3.487 2.466
Al 0.000 0.000 0.000
Cu 4.027 2.325 1.644
Cu 2.013 1.162 0.822
```



[4]
Below is a relaxed structure of NaHf3Sn, with properties calculated at the GGA-PBEsol level.

Calculated values
space-group type	No. 221
N(E_F)	1.06	states/eV per atom
ΔH_f (0 K)	1.35	eV/atom

The structure in extended XYZ format:
```
5
Lattice="-3.344 3.490 -0.509 -3.518 -3.251 0.818 0.247 0.931 4.764" Properties=species:S:1:pos:R:3 pbc="T T T"
Na 0.000 0.000 0.000
Hf -1.759 -1.626 0.409
Hf 0.123 0.466 2.382
Hf -1.672 1.745 -0.255
Sn -3.308 0.585 2.536
```



[5]
Below is a relaxed structure of Be2RhAu, with properties calculated at the GGA-PBEsol level.

Calculated values
space-group type	No. 139
N(E_F)	0.30	states/eV per atom
ΔH_f (0 K)	-0.46	eV/atom
distance to the lowest polymorph of the same formula	36	meV/atom

The structure in extended XYZ format:
```
4
Lattice="3.960 0.000 0.000 -1.980 3.482 0.027 0.000 2.226 3.275" Properties=species:S:1:pos:R:3 pbc="T T T"
Au 0.000 0.000 0.000
Rh 1.980 1.113 1.637
Be 0.000 2.297 0.832
Be 1.980 3.410 2.469
```



[6]
Below is a relaxed structure of CaP3W, with properties calculated at the GGA-PBEsol level.

Calculated values
space-group type	No. 221
N(E_F)	0.79	states/eV per atom
ΔH_f (0 K)	2.03	eV/atom

The structure in extended XYZ format:
```
5
Lattice="-0.398 1.832 -4.466 -2.563 -3.877 -1.362 -4.090 2.251 1.288" Properties=species:S:1:pos:R:3 pbc="T T T"
P -1.281 -1.939 -0.681
P -2.045 1.126 0.644
P -0.199 0.916 -2.233
Ca 0.000 0.000 0.000
W -3.525 0.103 -2.270
```



[7]
Below is a relaxed structure of Mg3Sn, with properties calculated at the GGA-PBEsol level.

Calculated values
space-group type	No. 194
N(E_F)	0.45	states/eV per atom
ΔH_f (0 K)	-0.13	eV/atom

The structure in extended XYZ format:
```
8
Lattice="-4.651 0.203 2.449 -2.741 -2.510 -4.997 2.216 -3.676 4.512" Properties=species:S:1:pos:R:3 pbc="T T T"
Mg -1.146 -4.693 1.037
Mg -0.882 -1.586 1.281
Mg 0.230 -3.432 3.546
Mg -5.407 -2.552 -1.582
Mg -4.294 -4.398 0.684
Mg -4.030 -1.291 0.927
Sn -2.251 -2.848 -1.215
Sn -2.925 -3.136 3.179
```



[8]
Below is a relaxed structure of ZrAs2Pt, with properties calculated at the GGA-PBEsol level.

Calculated values
space-group type	No. 47
N(E_F)	0.49	states/eV per atom
ΔH_f (0 K)	-0.58	eV/atom

The structure in extended XYZ format:
```
4
Lattice="3.300 0.000 0.031 0.000 3.831 0.000 -0.050 0.000 5.733" Properties=species:S:1:pos:R:3 pbc="T T T"
As 1.612 0.000 4.210
As 1.638 0.000 1.554
Zr -0.025 1.916 2.866
Pt 1.650 1.916 0.015
```



[9]
Below is a relaxed structure of In2Hg2Pb, with properties calculated at the GGA-PBEsol level.

Calculated values
space-group type	No. 127
N(E_F)	0.44	states/eV per atom
ΔH_f (0 K)	0.00	eV/atom
distance to the lowest polymorph of the same formula	0	meV/atom

The structure in extended XYZ format:
```
10
Lattice="3.710 0.000 0.000 0.000 8.296 0.000 0.000 0.000 8.296" Properties=species:S:1:pos:R:3 pbc="T T T"
Pb 0.000 0.000 0.000
Pb 0.000 4.148 4.148
Hg 0.000 3.029 7.177
Hg 0.000 7.177 5.267
Hg 0.000 5.267 1.119
Hg 0.000 1.119 3.029
In 1.855 1.365 5.513
In 1.855 5.513 6.931
In 1.855 6.931 2.783
In 1.855 2.783 1.365
```



[10]
Below is a relaxed structure of Li2TaRu, with properties calculated at the GGA-PBEsol level.

Calculated values
space-group type	No. 12
N(E_F)	0.76	states/eV per atom
ΔH_f (0 K)	0.25	eV/atom
distance to the lowest polymorph of the same formula	0	meV/atom

The structure in extended XYZ format:
```
4
Lattice="2.927 0.005 0.000 -0.159 4.225 0.000 -1.384 -2.115 4.969" Properties=species:S:1:pos:R:3 pbc="T T T"
Li -0.692 -1.058 2.485
Li 0.692 1.058 2.485
Ru 1.463 0.003 0.000
Ta -0.079 2.113 0.000
```



[11]
Below is a relaxed structure of RbMn2Pb2, with properties calculated at the GGA-PBEsol level.

Calculated values
space-group type	No. 139
N(E_F)	0.73	states/eV per atom
ΔH_f (0 K)	0.62	eV/atom

The structure in extended XYZ format:
```
5
Lattice="5.005 0.000 0.000 0.000 5.005 0.000 -2.503 -2.503 5.557" Properties=species:S:1:pos:R:3 pbc="T T T"
Pb 0.000 2.503 2.779
Pb 2.503 0.000 2.779
Mn 0.000 0.000 4.127
Mn 2.503 2.503 1.431
Rb 0.000 0.000 0.000
```



[12]
Below is a relaxed structure of Ni2TeAs, with properties calculated at the GGA-PBEsol level.

Calculated values
energy relative to the elements, uncorrected	0.12	eV per atom
space-group type	No. 123
N(E_F)	0.38	states/eV per atom

The structure in extended XYZ format:
```
4
Lattice="-0.706 2.444 -2.076 -3.618 0.814 2.188 2.141 2.758 2.519" Properties=species:S:1:pos:R:3 pbc="T T T"
As -0.353 1.222 -1.038
Ni -1.809 0.407 1.094
Ni 1.070 1.379 1.260
Te -1.091 3.008 1.315
```



[13]
Below is a relaxed structure of Cs2Te13, with properties calculated at the GGA-PBEsol level.

Calculated values
energy relative to the elements, uncorrected	-0.24	eV per atom
space-group type	No. 57

The structure in extended XYZ format:
```
60
Lattice="7.238 0.000 0.000 0.000 13.625 0.000 0.000 0.000 22.569" Properties=species:S:1:pos:R:3 pbc="T T T"
Cs 6.354 3.406 11.284
Cs 0.884 10.218 0.000
Cs 0.884 10.218 11.284
Cs 6.354 3.406 0.000
Cs 4.581 7.170 5.642
Cs 2.657 6.455 16.927
Cs 2.657 0.357 5.642
Cs 4.581 13.267 16.927
Te 2.131 1.371 10.185
Te 5.107 12.254 21.469
Te 5.107 8.183 1.100
Te 2.131 5.442 12.384
Te 5.107 12.254 12.384
Te 2.131 1.371 1.100
Te 2.131 5.442 21.469
Te 5.107 8.183 10.185
Te 0.486 13.087 8.937
Te 6.752 0.538 20.221
Te 6.752 6.275 2.348
Te 0.486 7.350 13.632
Te 6.752 0.538 13.632
Te 0.486 13.087 2.348
Te 0.486 7.350 20.221
Te 6.752 6.275 8.937
Te 5.017 0.349 9.687
Te 2.220 13.275 20.972
Te 2.220 7.162 1.597
Te 5.017 6.463 12.882
Te 2.220 13.275 12.882
Te 5.017 0.349 1.597
Te 5.017 6.463 20.972
Te 2.220 7.162 9.687
Te 5.386 2.313 7.527
Te 1.851 11.312 18.812
Te 1.851 9.125 3.757
Te 5.386 4.499 15.041
Te 1.851 11.312 15.041
Te 5.386 2.313 3.757
Te 5.386 4.499 18.812
Te 1.851 9.125 7.527
Te 3.914 4.510 8.460
Te 3.323 9.114 19.744
Te 3.323 11.323 2.825
Te 3.914 2.302 14.109
Te 3.323 9.114 14.109
Te 3.914 4.510 2.825
Te 3.914 2.302 19.744
Te 3.323 11.323 8.460
Te 1.295 3.536 7.832
Te 5.942 10.089 19.117
Te 5.942 10.348 3.452
Te 1.295 3.276 14.737
Te 5.942 10.089 14.737
Te 1.295 3.536 3.452
Te 1.295 3.276 19.117
Te 5.942 10.348 7.832
Te 0.675 5.224 5.642
Te 6.563 8.400 16.927
Te 6.563 12.037 5.642
Te 0.675 1.588 16.927
```



[14]
Below is a relaxed structure of AgPt2, with properties calculated at the GGA-PBEsol level.

Calculated values
space-group type	No. 59
N(E_F)	1.32	states/eV per atom
ΔH_f (0 K)	0.05	eV/atom
distance to the lowest polymorph of the same formula	51	meV/atom

The structure in extended XYZ format:
```
12
Lattice="-1.787 1.926 -0.859 -2.816 -1.550 2.384 4.909 10.060 12.339" Properties=species:S:1:pos:R:3 pbc="T T T"
Pt 1.579 8.141 10.517
Pt 2.407 9.839 12.600
Pt 0.200 0.409 0.502
Pt 1.028 2.107 2.585
Pt 1.849 3.790 4.649
Pt -0.048 4.808 6.429
Pt 2.654 5.440 6.673
Pt 0.757 6.458 8.452
Ag 3.475 7.121 8.734
Ag 4.292 8.797 10.790
Ag -1.685 1.451 2.311
Ag -0.868 3.127 4.367
```



[15]
Below is a relaxed structure of MnB2Pt, with properties calculated at the GGA-PBEsol level.

Calculated values
space-group type	No. 225
N(E_F)	0.55	states/eV per atom
ΔH_f (0 K)	0.12	eV/atom

The structure in extended XYZ format:
```
4
Lattice="-2.052 -3.090 0.305 0.240 -2.098 3.064 -2.841 -0.118 2.402" Properties=species:S:1:pos:R:3 pbc="T T T"
B -1.163 -1.327 1.443
B -3.489 -3.980 4.328
Mn 0.000 0.000 0.000
Pt -2.326 -2.654 2.885
```



[16]
Below is a relaxed structure of MgNiB3, with properties calculated at the GGA-PBEsol level.

Calculated values
space-group type	No. 221
N(E_F)	0.35	states/eV per atom
ΔH_f (0 K)	0.83	eV/atom

The structure in extended XYZ format:
```
5
Lattice="3.776 0.000 0.000 0.000 3.776 0.000 0.000 0.000 3.776" Properties=species:S:1:pos:R:3 pbc="T T T"
Ni 0.000 0.000 0.000
Mg 1.888 1.888 1.888
B 0.000 1.888 0.000
B 0.000 0.000 1.888
B 1.888 0.000 0.000
```



[17]
Below is a relaxed structure of KBeAs, with properties calculated at the GGA-PBEsol level.

Calculated values
space-group type	No. 62
N(E_F)	0.00	states/eV per atom
ΔH_f (0 K)	-0.39	eV/atom

The structure in extended XYZ format:
```
12
Lattice="-0.146 -3.472 -1.574 2.274 -2.428 5.145 -11.394 -1.485 4.334" Properties=species:S:1:pos:R:3 pbc="T T T"
Be -6.053 -3.554 1.468
Be 0.561 -1.977 1.997
Be -3.213 -3.831 6.438
Be -9.827 -5.408 5.909
As -0.610 -3.621 1.110
As -6.686 -2.145 3.042
As -8.655 -3.764 6.796
As -2.580 -5.240 4.864
K -9.483 -4.095 2.978
K -3.024 -2.351 3.156
K 0.217 -3.291 4.928
K -6.242 -5.034 4.750
```



[18]
Below is a relaxed structure of ScCd2Rh, with properties calculated at the GGA-PBEsol level.

Calculated values
space-group type	No. 225
N(E_F)	0.93	states/eV per atom
ΔH_f (0 K)	-0.29	eV/atom

The structure in extended XYZ format:
```
4
Lattice="4.640 0.000 0.000 2.320 4.018 0.000 2.320 1.339 3.788" Properties=species:S:1:pos:R:3 pbc="T T T"
Cd 2.320 1.339 0.947
Cd 6.960 4.018 2.841
Rh 0.000 0.000 0.000
Sc 4.640 2.679 1.894
```



[19]
Below is a relaxed structure of Mn2SnSbPd4, with properties calculated at the GGA-PBEsol level.

Calculated values
energy relative to the elements, uncorrected	-0.31	eV per atom
space-group type	No. 166
N(E_F)	0.46	states/eV per atom

The structure in extended XYZ format:
```
8
Lattice="-0.670 -1.620 -4.119 0.122 -4.417 -0.715 -7.358 -2.426 -0.281" Properties=species:S:1:pos:R:3 pbc="T T T"
Mn -5.902 -6.346 -3.841
Mn -2.004 -2.118 -1.273
Sn -3.953 -4.232 -2.557
Sb 0.000 0.000 0.000
Pd -6.649 -4.388 -2.058
Pd -3.233 -6.192 -4.335
Pd -4.673 -2.272 -0.779
Pd -1.257 -4.076 -3.057
```



[20]
Below is a relaxed structure of KBaCa2, with properties calculated at the GGA-PBEsol level.

Calculated values
space-group type	No. 35
N(E_F)	1.28	states/eV per atom
ΔH_f (0 K)	0.09	eV/atom
distance to the lowest polymorph of the same formula	6	meV/atom

The structure in extended XYZ format:
```
4
Lattice="-1.506 3.377 -1.433 -1.437 -0.659 3.637 10.286 6.836 5.304" Properties=species:S:1:pos:R:3 pbc="T T T"
K 5.248 3.488 2.706
Ca 10.183 6.768 5.251
Ca 6.455 6.627 5.189
Ba 0.886 2.926 2.318
```